Run 1
Compound: BaCoBr
Source: the Alexandria database
Functional: GGA-PBE
Structure: optimized geometry

Results
Total magnetization: 0.0 Bohr magnetons per cell
Symmetry: No. 194
V: 144 Å³ per cell
D(E_F): 0.516 states/eV per atom

Lattice parameters (Å, degrees): 4.2235 4.2235 9.3404 90.00 90.00 120.00
Element x y z (fractional)
1 Ba 0.0000 0.0000 0.0000
2 Ba 0.0000 0.0000 0.5000
3 Co 0.3333 0.6667 0.2500
4 Co 0.6667 0.3333 0.7500
5 Br 0.3333 0.6667 0.7500
6 Br 0.6667 0.3333 0.2500

---

Run 2
Compound: BaCoBr
Source: the Alexandria database
Functional: GGA-PBE
Structure: optimized geometry

Results
Total magnetization: 2.0 Bohr magnetons per cell
Symmetry: No. 12
V: 172 Å³ per cell
D(E_F): 1.023 states/eV per atom

Lattice parameters (Å, degrees): 6.7201 6.7201 8.8355 130.96 130.96 36.49
Element x y z (fractional)
1 Ba 0.0019 0.0019 0.2640
2 Ba 0.9981 0.9981 0.7360
3 Co 0.3821 0.3821 0.3818
4 Co 0.6179 0.6179 0.6182
5 Br 0.2951 0.2951 0.7971
6 Br 0.7049 0.7049 0.2029

---

Which is the most stable structure? run 2 is the most stable.

---

Run 1
Compound: BaCoBr4
Source: the Alexandria database
Functional: GGA-PBE
Structure: optimized geometry

Results
Total magnetization: 4.9 Bohr magnetons per cell
Symmetry: No. 216
V: 195 Å³ per cell
D(E_F): 2.164 states/eV per atom

Lattice parameters (Å, degrees): 6.5139 6.5139 6.5139 60.00 60.00 60.00
Element x y z (fractional)
1 Ba 0.0000 0.0000 0.0000
2 Co 0.2500 0.2500 0.2500
3 Br 0.1257 0.6248 0.6248
4 Br 0.6248 0.1257 0.6248
5 Br 0.6248 0.6248 0.1257
6 Br 0.6248 0.6248 0.6248

---

Run 2
Compound: BaCoBr4
Source: the Alexandria database
Functional: GGA-PBE
Structure: optimized geometry

Results
Total magnetization: 6.0 Bohr magnetons per cell
Symmetry: No. 141
V: 460 Å³ per cell

Lattice parameters (Å, degrees): 8.4796 8.4796 8.4796 105.00 105.00 118.83
Element x y z (fractional)
1 Ba 0.3750 0.6250 0.7500
2 Ba 0.6250 0.3750 0.2500
3 Co 0.1250 0.8750 0.2500
4 Co 0.8750 0.1250 0.7500
5 Br 0.1285 0.6985 0.4299
6 Br 0.2314 0.3015 0.9299
7 Br 0.3015 0.2314 0.4299
8 Br 0.3015 0.8715 0.0701
9 Br 0.6985 0.1285 0.9299
10 Br 0.6985 0.7686 0.5701
11 Br 0.7686 0.6985 0.0701
12 Br 0.8715 0.3015 0.5701

---

Which is the most stable structure? run 2 is the most stable.

---

Run 1
Compound: BaIn2CoBr
Source: the Alexandria database
Functional: GGA-PBE
Structure: optimized geometry

Results
Total magnetization: 0.0 Bohr magnetons per cell
Symmetry: No. 123
V: 148 Å³ per cell
D(E_F): 0.305 states/eV per atom

Lattice parameters (Å, degrees): 4.9613 4.9613 6.0307 90.00 90.00 90.00
Element x y z (fractional)
1 Ba 0.0000 0.0000 0.0000
2 In 0.0000 0.5000 0.5000
3 In 0.5000 0.0000 0.5000
4 Co 0.0000 0.0000 0.5000
5 Br 0.5000 0.5000 0.0000

---

Run 2
Compound: BaIn2CoBr
Source: the Alexandria database
Functional: GGA-PBE
Structure: optimized geometry

Results
Total magnetization: 0.9 Bohr magnetons per cell
Symmetry: No. 123
V: 153 Å³ per cell
D(E_F): 0.696 states/eV per atom

Lattice parameters (Å, degrees): 4.9074 4.9074 6.3353 90.00 90.00 90.00
Element x y z (fractional)
1 Ba 0.0000 0.0000 0.0000
2 In 0.0000 0.5000 0.5000
3 In 0.5000 0.0000 0.5000
4 Co 0.5000 0.5000 0.5000
5 Br 0.5000 0.5000 0.0000

---

Which is the most stable structure? run 1 is the most stable.

---

Run 1
Compound: BaCrSeBr2
Source: the Alexandria database
Functional: GGA-PBE
Structure: optimized geometry

Results
Total magnetization: 4.0 Bohr magnetons per cell
Symmetry: No. 123
V: 242 Å³ per cell
D(E_F): 1.646 states/eV per atom

Lattice parameters (Å, degrees): 6.1625 6.1625 6.3856 90.00 90.00 90.00
Element x y z (fractional)
1 Ba 0.0000 0.0000 0.0000
2 Cr 0.5000 0.5000 0.5000
3 Se 0.0000 0.0000 0.5000
4 Br 0.0000 0.5000 0.0000
5 Br 0.5000 0.0000 0.0000

---

Run 2
Compound: BaCrSeBr2
Source: the Alexandria database
Functional: GGA-PBE
Structure: optimized geometry

Results
Total magnetization: 4.0 Bohr magnetons per cell
Symmetry: No. 123
V: 141 Å³ per cell
D(E_F): 0.090 states/eV per atom

Lattice parameters (Å, degrees): 5.1962 5.1962 5.2388 90.00 90.00 90.00
Element x y z (fractional)
1 Ba 0.0000 0.0000 0.0000
2 Cr 0.5000 0.5000 0.5000
3 Se 0.5000 0.5000 0.0000
4 Br 0.0000 0.5000 0.5000
5 Br 0.5000 0.0000 0.5000

---

Which is the most stable structure? run 2 is the most stable.

---

Run 1
Compound: CsBaBr2
Source: the Alexandria database
Functional: GGA-PBE
Structure: optimized geometry

Results
Total magnetization: 0.6 Bohr magnetons per cell
Symmetry: No. 123
V: 152 Å³ per cell
D(E_F): 0.394 states/eV per atom

Lattice parameters (Å, degrees): 4.1572 4.1572 8.7770 90.00 90.00 90.00
Element x y z (fractional)
1 Cs 0.0000 0.0000 0.0000
2 Ba 0.0000 0.0000 0.5000
3 Br 0.5000 0.5000 0.2747
4 Br 0.5000 0.5000 0.7253

---

Run 2
Compound: CsBaBr2
Source: the Alexandria database
Functional: GGA-PBE
Structure: optimized geometry

Results
Total magnetization: 0.6 Bohr magnetons per cell
Symmetry: No. 160
V: 171 Å³ per cell
D(E_F): 0.306 states/eV per atom

Lattice parameters (Å, degrees): 9.8506 9.8506 9.8506 26.78 26.78 26.78
Element x y z (fractional)
1 Cs 0.0000 0.0000 0.0000
2 Ba 0.1691 0.1691 0.1691
3 Br 0.5806 0.5806 0.5806
4 Br 0.7563 0.7563 0.7563

---

Which is the most stable structure? run 2 is the most stable.